Material: Cr4Cu3AgO12
Method: DFT, PBE with a Hubbard U
State: relaxed

The structure belongs to space group Im-3 (No. 204); the cell edges are 7.389, 7.389 and 7.389 Å and the angles 90.00°, 90.00° and 90.00°. The asymmetric unit holds Cr at (0.250, 0.250, 0.250), Cu at (0.000, 0.000, 0.500), Ag at (0.000, 0.000, 0.000) and O at (0.000, 0.316, 0.172).

As for the crystal system: cubic. For the theoretical density, the calculation gives 5.751 g/cm3. The calculation puts the total energy at -254.43 eV for the cell shown. For the total moment, the calculation gives 0.50 μB per atom.